[1]
Compound: MgFeW2
Source: the Alexandria database
Functional: PBE
Structure: optimized geometry

VASP energy in eV per atom: -8.6509
Energy of formation in eV per atom: 0.340
Spin magnetization in μB/f.u.: 1.94

Cell lengths 2.6680, 4.3914, 5.3054 Å; angles 90.00, 98.75, 90.00 degrees
Closest atoms and distances in Å follow each position.
Space group Pm (No. 6)
Unique sites:
Mg  0.0000  0.0000  0.0000 [1 per cell]  2 Fe 2.65, 2 Mg 2.67, 4 W 2.78-2.80
Fe  0.2079  0.5000  0.7548 [1 per cell]  2 Mg 2.65, 2 Fe 2.67, 4 W 2.68-2.80
W  0.4543  0.0000  0.5103 [1 per cell]  4 W 2.67, 2 Fe 2.68, 2 Mg 2.78-2.79
W  0.6814  0.5000  0.2639 [1 per cell]  4 W 2.67, 2 Fe 2.76-2.80, 2 Mg 2.80



[2]
Compound: NdSm2Al3
Source: the Alexandria database
Functional: PBE
Structure: optimized geometry

VASP energy in eV per atom: -4.5712
Energy of formation in eV per atom: -0.332
Spin magnetization in μB/f.u.: 0.00

Cell lengths 6.1827, 6.1827, 9.2358 Å; angles 90.00, 90.00, 120.00 degrees
Closest atoms and distances in Å follow each position.
Space group P-3m1 (No. 164)
Unique sites:
Nd  0.3333  0.6667  0.4324 [2 per cell]  9 Al 3.33-3.53, 4 Sm 3.41-3.62
Sm  0.0000  0.0000  0.0000 [1 per cell]  6 Al 3.05
Sm  0.0000  0.0000  0.5000 [1 per cell]  6 Al 3.06
Sm  0.3333  0.6667  0.0628 [2 per cell]  9 Al 3.28-3.54, 1 Nd 3.41, 3 Sm 3.62
Al  0.1869  0.3738  0.7508 [6 per cell]  2 Al 2.72



[3]
Compound: Tb3Ho3Mg
Source: the Alexandria database
Functional: PBE
Structure: optimized geometry

VASP energy in eV per atom: -4.1554
Energy of formation in eV per atom: 0.019
Spin magnetization in μB/f.u.: 0.00

Cell lengths 9.3745, 5.6071, 9.3799 Å; angles 90.00, 119.96, 90.00 degrees
Closest atoms and distances in Å follow each position.
Space group P2_1/m (No. 11)
Unique sites:
Tb  0.0566  0.2500  0.2420 [2 per cell]  5 Ho 3.46-3.62, 6 Tb 3.48-3.56, 1 Mg 3.50
Tb  0.1851  0.2500  0.9431 [2 per cell]  5 Ho 3.46-3.62, 6 Tb 3.48-3.56, 1 Mg 3.50
Tb  0.2421  0.7500  0.1850 [2 per cell]  5 Ho 3.46-3.62, 6 Tb 3.48-3.56, 1 Mg 3.50
Ho  0.1028  0.7500  0.4775 [2 per cell]  3 Mg 3.44-3.61, 4 Ho 3.46-3.54, 5 Tb 3.46-3.62
Ho  0.3751  0.7500  0.8972 [2 per cell]  3 Mg 3.44-3.61, 4 Ho 3.46-3.54, 5 Tb 3.46-3.62
Ho  0.4773  0.2500  0.3751 [2 per cell]  3 Mg 3.44-3.60, 4 Ho 3.46-3.54, 5 Tb 3.46-3.62
Mg  0.3332  0.2500  0.6666 [2 per cell]  9 Ho 3.44-3.61, 3 Tb 3.50